1.
Compound: GdCoC
Source: the Alexandria database
Functional: PBE
Structure: relaxed

It has space group P-6m2 (No. 187), with a = 3.4639 Å, b = 3.4639 Å, c = 3.9875 Å, α = 90.00°, β = 90.00° and γ = 120.00°. Symmetry generates all atoms from Gd at (0.0000, 0.0000, 0.0000), Co at (0.6667, 0.3333, 0.5000) and C at (0.3333, 0.6667, 0.5000).

The energy above the most stable polymorph in this dataset is 217 meV per atom. Its energy of formation is -58 meV/atom.

2.
Compound: Pu8SiPt5
Source: the Alexandria database
Functional: PBE
Structure: relaxed

It has space group I-4 (No. 82), with a = 8.7253 Å, b = 8.7253 Å, c = 8.6190 Å, α = 90.00°, β = 90.00° and γ = 90.00°. Symmetry generates all atoms from Pu at (0.0693, 0.3217, 0.0479), Pu at (0.0726, 0.1783, 0.6953), Si at (0.0000, 0.5000, 0.7500), Pt at (0.0000, 0.0000, 0.0000) and Pt at (0.1234, 0.2496, 0.3723).

The calculation puts the uncorrected formation energy at -8.4 eV/f.u.

Number 1: E -30.58 eV/f.u., M_tot 6.86 μB/f.u.. Number 2: E -158.72 eV/f.u., M_tot 44.49 μB/f.u..